[1]
LiCaPmTe3: relaxed, PBE.

Computed properties:
- Energy relative to the elements, uncorrected: -1.37 eV/atom
- Total moment: 0.0 μB per cell

a = 9.094 Å, b = 4.318 Å, c = 9.687 Å
α = 90.00°, β = 102.50°, γ = 90.00°
Positions (direct):
Li1 0.085 0.250 0.087
Li2 0.915 0.750 0.913
Ca1 0.336 0.750 0.332
Ca2 0.664 0.250 0.668
Pm1 0.180 0.250 0.733
Pm2 0.820 0.750 0.267
Te1 0.088 0.250 0.373
Te2 0.225 0.750 0.992
Te3 0.412 0.750 0.664
Te4 0.588 0.250 0.336
Te5 0.775 0.250 0.008
Te6 0.912 0.750 0.627


[2]
LiCa3Pm3Te8: relaxed, PBE.

Computed properties:
- Energy relative to the elements, uncorrected: -1.41 eV/atom
- Total moment: 0.0 μB per cell

a = 8.977 Å, b = 8.977 Å, c = 8.977 Å
α = 59.69°, β = 59.69°, γ = 59.69°
Positions (direct):
Li1 0.000 0.000 0.000
Ca1 0.000 0.000 0.500
Ca2 0.000 0.500 0.000
Ca3 0.500 0.000 0.000
Pm1 0.000 0.500 0.500
Pm2 0.500 0.000 0.500
Pm3 0.500 0.500 0.000
Te1 0.246 0.246 0.750
Te2 0.246 0.750 0.246
Te3 0.250 0.250 0.250
Te4 0.250 0.754 0.754
Te5 0.750 0.246 0.246
Te6 0.750 0.750 0.750
Te7 0.754 0.250 0.754
Te8 0.754 0.754 0.250


[3]
Li2CaPmTl2: relaxed, PBE.

Computed properties:
- Energy of formation from the pure elements: -302 meV/atom
- Total moment: 0.0 μB per cell

a = 4.962 Å, b = 4.962 Å, c = 7.359 Å
α = 90.00°, β = 90.00°, γ = 120.00°
Positions (direct):
Li1 0.333 0.667 0.259
Li2 0.667 0.333 0.741
Ca1 0.000 0.000 0.000
Pm1 0.000 0.000 0.500
Tl1 0.333 0.667 0.721
Tl2 0.667 0.333 0.279


[4]
LiCaPm2Tl4: relaxed, PBE.

Computed properties:
- Energy of formation from the pure elements: -356 meV/atom
- Total moment: 0.0 μB per cell

a = 9.404 Å, b = 9.404 Å, c = 9.404 Å
α = 33.20°, β = 33.20°, γ = 33.20°
Positions (direct):
Li1 0.000 0.000 0.000
Ca1 0.500 0.500 0.500
Pm1 0.253 0.253 0.253
Pm2 0.747 0.747 0.747
Tl1 0.122 0.122 0.122
Tl2 0.373 0.373 0.373
Tl3 0.627 0.627 0.627
Tl4 0.878 0.878 0.878


> Which value of total moment does entry 3 give?

0.0 μB per cell